VASP calculation (PBE-GGA) on a geometry-optimized SmInPt structure.

Values from the calculation:
The value obtained for the total energy is -4.902 eV/atom. The total magnetization comes out at 0.0 Bohr magnetons per cell. As for the theoretical density: 11.5 g/cm3. The crystal system is hexagonal. The space group is P-62m, No. 189.

a b c (Å): 8.3049 8.3049 3.3487
angles (deg): 90.00 90.00 120.00
With the nearest neighbours (Å) after each atom.
Sites, in units of the cell vectors:
Sm  0.0000  0.2997  0.0000  4 In 2.92-3.00, 6 Pt 3.26
Sm  0.2997  0.0000  0.0000  4 In 2.92-3.00, 6 Pt 3.26
Sm  0.7003  0.7003  0.0000  4 In 2.92-3.00, 6 Pt 3.26
In  0.0000  0.0000  0.5000  6 Sm 3.00, 3 Pt 3.02, 2 In 3.35
In  0.3333  0.6667  0.0000  3 Sm 2.92, 6 Pt 3.14
In  0.6667  0.3333  0.0000  3 Sm 2.92, 6 Pt 3.14
Pt  0.0000  0.6365  0.5000  5 In 3.02-3.14, 6 Sm 3.26, 2 Pt 3.35
Pt  0.3635  0.3635  0.5000  5 In 3.02-3.14, 6 Sm 3.26, 2 Pt 3.35
Pt  0.6365  0.0000  0.5000  5 In 3.02-3.14, 6 Sm 3.26, 2 Pt 3.35